a | First-principles (GGA-PBE) data for crystalline Tc3SnF at its relaxed geometry, as listed in Alexandria.

DOS at the Fermi energy (states/eV/atom): 1.309
Space group: Pm-3m

Structure (extended XYZ):
```
5
Lattice="-4.061 0.332 1.249 0.570 -3.236 2.713 1.160 2.753 3.040" Properties=species:S:1:pos:R:3 pbc="T T T"
F 0.000 0.000 0.000
Sn -1.166 -0.076 3.501
Tc 0.285 -1.618 1.357
Tc 0.580 1.376 1.520
Tc -2.030 0.166 0.624
```


b | First-principles (GGA-PBE) data for crystalline Tc3SnF at its relaxed geometry, as listed in Alexandria.

DOS at the Fermi energy (states/eV/atom): 1.043
Space group: Pm-3m

Structure (extended XYZ):
```
5
Lattice="-4.637 1.710 1.418 -1.754 -0.803 -4.766 -1.364 -4.782 1.308" Properties=species:S:1:pos:R:3 pbc="T T T"
F -3.877 -1.938 -1.020
Sn 0.000 0.000 0.000
Tc -0.877 -0.402 -2.383
Tc -0.682 -2.391 0.654
Tc -2.319 0.855 0.709
```


Verdict on stability: a comes out on top.


a | First-principles (GGA-PBE) data for crystalline SnTe2F at its relaxed geometry, as listed in Alexandria.

DOS at the Fermi energy (states/eV/atom): 0.377
Space group: R-3m

Structure (extended XYZ):
```
4
Lattice="1.885 0.000 10.156 -0.943 1.633 10.156 -0.943 -1.633 10.156" Properties=species:S:1:pos:R:3 pbc="T T T"
Te 0.000 0.000 27.483
Te 0.000 0.000 2.986
Sn 0.000 0.000 0.000
F 0.000 0.000 15.234
```


b | First-principles (GGA-PBE) data for crystalline SnTe2F at its relaxed geometry, as listed in Alexandria.

DOS at the Fermi energy (states/eV/atom): 0.997
Space group: Fm-3m

Structure (extended XYZ):
```
4
Lattice="4.320 -1.953 1.871 2.280 2.212 3.986 -0.005 -2.309 4.544" Properties=species:S:1:pos:R:3 pbc="T T T"
Te 1.649 -0.513 2.600
Te 4.946 -1.538 7.801
Sn 3.298 -1.025 5.201
F 0.000 0.000 0.000
```


c | First-principles (GGA-PBE) data for crystalline SnTe2F at its relaxed geometry, as listed in Alexandria.

DOS at the Fermi energy (states/eV/atom): 0.437
Space group: R-3m

Structure (extended XYZ):
```
4
Lattice="1.883 -7.189 4.179 5.459 -4.932 4.309 2.356 -4.138 7.072" Properties=species:S:1:pos:R:3 pbc="T T T"
Te 0.908 -1.522 1.457
Te 8.790 -14.737 14.103
Sn 4.849 -8.129 7.780
F 0.000 0.000 0.000
```


d | First-principles (GGA-PBE) data for crystalline SnTe2F at its relaxed geometry, as listed in Alexandria.

DOS at the Fermi energy (states/eV/atom): 0.217
Space group: I-42d

Structure (extended XYZ):
```
8
Lattice="-0.796 10.355 -0.221 -1.480 0.106 10.281 1.263 5.422 5.374" Properties=species:S:1:pos:R:3 pbc="T T T"
Te -0.422 8.556 2.475
Te -0.654 2.000 7.757
Te 0.196 7.982 7.093
Te -1.147 13.227 13.544
Sn 0.000 0.000 0.000
Sn -0.336 10.504 5.092
F -1.138 5.230 5.030
F -0.678 5.379 10.343
```


Verdict on stability: d comes out on top.


a | First-principles (GGA-PBE) data for crystalline Sn3TeF at its relaxed geometry, as listed in Alexandria.

DOS at the Fermi energy (states/eV/atom): 0.905
Space group: Pm-3m

Structure (extended XYZ):
```
5
Lattice="-1.769 -1.960 -5.331 -5.209 -1.666 2.341 -2.264 5.364 -1.221" Properties=species:S:1:pos:R:3 pbc="T T T"
Te 0.000 0.000 0.000
Sn -2.605 -0.833 1.171
Sn -1.132 2.682 -0.610
Sn -0.885 -0.980 -2.665
F -4.621 0.869 -2.105
```


b | First-principles (GGA-PBE) data for crystalline Sn3TeF at its relaxed geometry, as listed in Alexandria.

DOS at the Fermi energy (states/eV/atom): 0.997
Space group: Pm-3m

Structure (extended XYZ):
```
5
Lattice="5.098 0.000 0.000 0.000 5.098 0.000 0.000 0.000 5.098" Properties=species:S:1:pos:R:3 pbc="T T T"
Te 2.549 2.549 2.549
Sn 0.000 2.549 0.000
Sn 0.000 0.000 2.549
Sn 2.549 0.000 0.000
F 0.000 0.000 0.000
```


Verdict on stability: b comes out on top.


a | First-principles (GGA-PBE) data for crystalline SnTe3F at its relaxed geometry, as listed in Alexandria.

DOS at the Fermi energy (states/eV/atom): 1.909
Space group: Pm-3m

Structure (extended XYZ):
```
5
Lattice="-0.999 -1.576 5.312 4.983 -2.617 0.161 2.424 4.730 1.859" Properties=species:S:1:pos:R:3 pbc="T T T"
Te 2.492 -1.308 0.080
Te 1.212 2.365 0.930
Te -0.500 -0.788 2.656
Sn 0.000 0.000 0.000
F 3.204 0.269 3.666
```


b | First-principles (GGA-PBE) data for crystalline SnTe3F at its relaxed geometry, as listed in Alexandria.

DOS at the Fermi energy (states/eV/atom): 0.400
Space group: Pm-3m

Structure (extended XYZ):
```
5
Lattice="5.060 0.000 0.000 0.000 5.060 0.000 0.000 0.000 5.060" Properties=species:S:1:pos:R:3 pbc="T T T"
Te 0.000 2.530 0.000
Te 0.000 0.000 2.530
Te 2.530 0.000 0.000
Sn 2.530 2.530 2.530
F 0.000 0.000 0.000
```


Verdict on stability: b comes out on top.


a | First-principles (GGA-PBE) data for crystalline Sn2TeF at its relaxed geometry, as listed in Alexandria.

DOS at the Fermi energy (states/eV/atom): 0.319
Space group: I-42d

Structure (extended XYZ):
```
8
Lattice="-0.838 2.302 4.706 4.139 -2.631 2.024 6.621 6.012 1.230" Properties=species:S:1:pos:R:3 pbc="T T T"
Te 0.000 0.000 0.000
Te 3.717 4.075 4.651
Sn 1.742 2.356 2.977
Sn 4.044 0.403 2.686
Sn 6.665 4.092 3.672
Sn 7.393 4.515 6.586
F 1.650 -0.164 3.365
F 6.205 1.608 3.310
```


b | First-principles (GGA-PBE) data for crystalline Sn2TeF at its relaxed geometry, as listed in Alexandria.

DOS at the Fermi energy (states/eV/atom): 0.425
Space group: R-3m

Structure (extended XYZ):
```
4
Lattice="5.704 0.000 0.000 2.852 4.940 0.000 2.852 1.647 3.791" Properties=species:S:1:pos:R:3 pbc="T T T"
Te 5.704 3.293 1.896
Sn 2.852 1.647 1.563
Sn 8.556 4.940 2.228
F 0.000 0.000 0.000
```


Verdict on stability: b comes out on top.


a | First-principles (GGA-PBE) data for crystalline Sn2TeF2 at its relaxed geometry, as listed in Alexandria.

DOS at the Fermi energy (states/eV/atom): 0.210
Space group: P4/mbm

Structure (extended XYZ):
```
10
Lattice="8.185 0.000 0.000 0.000 8.185 0.000 0.000 0.000 3.116" Properties=species:S:1:pos:R:3 pbc="T T T"
Te 0.000 0.000 0.000
Te 4.092 4.092 0.000
Sn 1.278 5.371 1.558
Sn 5.371 6.906 1.558
Sn 6.906 2.814 1.558
Sn 2.814 1.278 1.558
F 3.194 7.286 0.000
F 7.286 4.991 0.000
F 4.991 0.899 0.000
F 0.899 3.194 0.000
```


b | First-principles (GGA-PBE) data for crystalline Sn2TeF2 at its relaxed geometry, as listed in Alexandria.

DOS at the Fermi energy (states/eV/atom): 0.020
Space group: I4/mmm

Structure (extended XYZ):
```
5
Lattice="-3.816 -1.109 -2.859 -1.481 -3.330 3.268 -5.209 1.035 2.360" Properties=species:S:1:pos:R:3 pbc="T T T"
Te 0.000 0.000 0.000
Sn -5.837 -1.147 -0.147
Sn -4.669 -2.257 2.916
F -3.474 -1.170 0.900
F -7.032 -2.234 1.870
```


Verdict on stability: b comes out on top.


a | First-principles (GGA-PBE) data for crystalline ThSn2F8 at its relaxed geometry, as listed in Alexandria.

DOS at the Fermi energy (states/eV/atom): 0.000
Space group: C2/m

Structure (extended XYZ):
```
11
Lattice="4.103 0.000 0.000 0.000 6.012 -0.081 -2.051 -2.675 7.023" Properties=species:S:1:pos:R:3 pbc="T T T"
Th 2.051 0.000 0.000
Sn 2.051 0.312 4.336
Sn 0.000 3.026 2.606
F 0.000 1.435 5.687
F 2.051 5.161 2.115
F 2.051 2.505 3.841
F 2.051 -1.489 6.656
F 0.000 0.833 3.101
F 0.000 -1.824 4.827
F 2.051 1.903 1.255
F 0.000 4.826 0.286
```


b | First-principles (GGA-PBE) data for crystalline ThSn2F8 at its relaxed geometry, as listed in Alexandria.

DOS at the Fermi energy (states/eV/atom): 0.000
Space group: Immm

Structure (extended XYZ):
```
11
Lattice="3.837 0.000 -1.168 -0.978 5.661 -3.215 0.150 0.391 7.382" Properties=species:S:1:pos:R:3 pbc="T T T"
Sn -0.013 3.802 -0.043
Sn 3.022 2.250 3.042
Th 1.919 0.000 -0.584
F 1.615 4.957 -1.581
F 0.947 3.680 3.112
F 0.335 0.684 1.102
F -0.312 1.803 -1.024
F 2.674 5.368 1.897
F 2.062 2.372 -0.113
F 1.394 1.094 4.581
F 3.321 4.249 4.023
```


Verdict on stability: a comes out on top.


a | First-principles (GGA-PBE) data for crystalline TiSn3F at its relaxed geometry, as listed in Alexandria.

DOS at the Fermi energy (states/eV/atom): 1.219
Space group: Pm-3m

Structure (extended XYZ):
```
5
Lattice="-3.454 -2.467 -2.276 2.193 -4.131 1.151 -2.542 -0.211 4.086" Properties=species:S:1:pos:R:3 pbc="T T T"
F 0.000 0.000 0.000
Sn 1.096 -2.065 0.575
Sn -1.271 -0.106 2.043
Sn -1.727 -1.234 -1.138
Ti -1.901 -3.405 1.480
```


b | First-principles (GGA-PBE) data for crystalline TiSn3F at its relaxed geometry, as listed in Alexandria.

DOS at the Fermi energy (states/eV/atom): 0.925
Space group: Pm-3m

Structure (extended XYZ):
```
5
Lattice="-1.503 -3.882 3.251 -2.864 -2.144 -3.885 4.175 -2.868 -1.495" Properties=species:S:1:pos:R:3 pbc="T T T"
F -0.096 -4.447 -1.065
Sn -1.432 -1.072 -1.942
Sn 2.088 -1.434 -0.748
Sn -0.751 -1.941 1.625
Ti 0.000 0.000 0.000
```


Verdict on stability: a comes out on top.


a | First-principles (GGA-PBE) data for crystalline Ti2SnF at its relaxed geometry, as listed in Alexandria.

DOS at the Fermi energy (states/eV/atom): 1.148
Space group: I4_1/amd

Structure (extended XYZ):
```
8
Lattice="-1.328 -1.781 4.351 2.472 -4.111 -0.929 5.963 -0.319 4.432" Properties=species:S:1:pos:R:3 pbc="T T T"
F 0.572 -2.946 1.711
F 4.503 -3.688 2.607
Sn 0.000 0.000 0.000
Sn 2.604 -2.523 5.247
Ti 1.302 -1.262 2.624
Ti 2.538 -3.317 2.159
Ti 5.519 -3.476 4.375
Ti 4.856 -4.367 6.551
```


b | First-principles (GGA-PBE) data for crystalline Ti2SnF at its relaxed geometry, as listed in Alexandria.

DOS at the Fermi energy (states/eV/atom): 0.494
Space group: Fm-3m

Structure (extended XYZ):
```
4
Lattice="0.000 3.272 3.272 3.272 0.000 3.272 3.272 3.272 0.000" Properties=species:S:1:pos:R:3 pbc="T T T"
F 0.000 0.000 0.000
Sn 3.272 3.272 3.272
Ti 1.636 1.636 1.636
Ti 4.908 4.908 4.908
```


Verdict on stability: a comes out on top.


a | First-principles (GGA-PBE) data for crystalline TlSnF6 at its relaxed geometry, as listed in Alexandria.

DOS at the Fermi energy (states/eV/atom): 0.306
Space group: R-3

Structure (extended XYZ):
```
8
Lattice="-1.206 -0.945 -5.385 1.388 -4.880 -2.369 -4.560 -3.928 -1.203" Properties=species:S:1:pos:R:3 pbc="T T T"
Tl -2.189 -4.877 -4.478
Sn 0.000 0.000 0.000
F -3.155 -4.877 -2.291
F -4.333 -4.240 -5.321
F -1.486 -2.600 -4.270
F -0.044 -5.513 -3.635
F -1.223 -4.877 -6.666
F -2.892 -7.153 -4.686
```


b | First-principles (GGA-PBE) data for crystalline TlSnF6 at its relaxed geometry, as listed in Alexandria.

DOS at the Fermi energy (states/eV/atom): 0.396
Space group: C2/m

Structure (extended XYZ):
```
8
Lattice="-4.465 -0.475 2.705 2.046 -4.567 -1.561 3.312 0.677 4.406" Properties=species:S:1:pos:R:3 pbc="T T T"
Tl 0.000 0.000 0.000
Sn 0.447 -2.182 2.775
F -0.844 -3.591 2.156
F -0.255 -2.379 4.660
F 1.737 -0.774 3.394
F -0.840 -0.736 2.192
F 1.148 -1.986 0.890
F 1.733 -3.628 3.358
```


Verdict on stability: a comes out on top.


a | First-principles (GGA-PBE) data for crystalline TlSnF at its relaxed geometry, as listed in Alexandria.

DOS at the Fermi energy (states/eV/atom): 0.287
Space group: C2/m

Structure (extended XYZ):
```
6
Lattice="-5.471 0.821 -0.290 -2.566 -4.203 -2.538 -1.392 -2.835 4.538" Properties=species:S:1:pos:R:3 pbc="T T T"
Sn -8.259 -4.363 -0.926
Sn -7.650 -5.275 1.900
Tl -4.615 -2.772 0.230
Tl -3.258 -3.483 3.573
F -2.136 -2.018 1.748
F -5.737 -4.236 2.053
```


b | First-principles (GGA-PBE) data for crystalline TlSnF at its relaxed geometry, as listed in Alexandria.

DOS at the Fermi energy (states/eV/atom): 0.629
Space group: P3m1

Structure (extended XYZ):
```
3
Lattice="-1.263 1.409 2.767 1.684 -2.890 0.210 6.049 3.592 0.932" Properties=species:S:1:pos:R:3 pbc="T T T"
Tl 0.222 0.132 0.034
Sn 4.351 0.709 1.624
F 1.898 1.269 2.250
```


Verdict on stability: a comes out on top.


a | First-principles (GGA-PBE) data for crystalline Tl2SnF4 at its relaxed geometry, as listed in Alexandria.

DOS at the Fermi energy (states/eV/atom): 0.000
Space group: I4/mmm

Structure (extended XYZ):
```
7
Lattice="4.746 0.000 0.000 0.000 4.746 0.000 2.373 2.373 6.984" Properties=species:S:1:pos:R:3 pbc="T T T"
Tl 2.373 2.373 2.081
Tl 4.746 4.746 4.903
Sn 0.000 0.000 0.000
F 2.373 2.373 4.608
F 4.746 4.746 2.377
F 0.000 2.373 0.000
F 2.373 0.000 0.000
```


b | First-principles (GGA-PBE) data for crystalline Tl2SnF4 at its relaxed geometry, as listed in Alexandria.

DOS at the Fermi energy (states/eV/atom): 0.000
Space group: P2_1/m

Structure (extended XYZ):
```
14
Lattice="-0.732 6.254 2.200 -6.354 -0.865 0.344 1.063 -5.428 5.976" Properties=species:S:1:pos:R:3 pbc="T T T"
Tl -1.759 1.334 0.836
Tl -4.265 -1.373 7.684
Tl -4.710 0.117 3.215
Tl -1.314 -0.156 5.305
Sn -1.891 3.579 4.047
Sn -4.133 -3.617 4.474
F -3.324 2.313 3.004
F -2.145 4.780 2.369
F -3.879 -4.819 6.151
F -0.290 2.726 2.839
F -4.621 0.466 5.737
F -5.734 -2.764 5.681
F -2.699 -2.351 5.517
F -1.403 -0.504 2.783
```


Verdict on stability: b comes out on top.